Below is an optimized crystal structure of Ba4CdAu2, with properties calculated at the PBE level.

Calculated values
Final energy   -74.42 eV per cell
Magnetic moment   0.0 Bohr magnetons per cell
Energy of formation   -491.9 meV/atom
DOS(E_F)   4.69 states/eV/f.u.
Symmetry   No. 62

a = 4.823 Å, b = 15.763 Å, c = 16.214 Å
α = 90.00°, β = 90.00°, γ = 90.00°
Atoms (fractional coordinates):
Cd1 0.250 0.863 0.404
Cd2 0.750 0.137 0.596
Cd3 0.250 0.363 0.096
Cd4 0.750 0.637 0.904
Au1 0.250 0.603 0.575
Au2 0.750 0.897 0.075
Au3 0.750 0.349 0.799
Au4 0.750 0.397 0.425
Au5 0.750 0.849 0.701
Au6 0.250 0.651 0.201
Au7 0.250 0.151 0.299
Au8 0.250 0.103 0.925
Ba1 0.750 0.739 0.525
Ba2 0.250 0.963 0.615
Ba3 0.250 0.261 0.475
Ba4 0.750 0.537 0.115
Ba5 0.750 0.037 0.385
Ba6 0.750 0.967 0.877
Ba7 0.250 0.761 0.025
Ba8 0.250 0.533 0.377
Ba9 0.750 0.467 0.623
Ba10 0.250 0.213 0.749
Ba11 0.750 0.287 0.249
Ba12 0.750 0.239 0.975
Ba13 0.250 0.033 0.123
Ba14 0.250 0.463 0.885
Ba15 0.750 0.787 0.251
Ba16 0.250 0.713 0.751